28
Lattice="-4.862 0.070 -1.134 1.606 -1.517 -6.976 -0.578 -9.355 1.902" Properties=species:S:1:pos:R:3 comment="LiCoPO4, relaxed, DFT GGA+U" final_energy_ev_per_atom=-6.618 space_group="No. 19" relative_energy_mev_per_atom=28 pbc="T T T"
P -4.343 -1.793 -0.651
Li -0.332 -4.484 -0.896
O -1.563 -7.589 -2.417
O -2.183 -9.935 -3.303
O -4.603 -1.517 -2.192
Co -0.366 -6.223 -3.226
O 0.898 -7.203 -4.441
P -1.531 -9.114 -2.167
O 0.564 -9.513 -5.344
O -4.523 -3.316 -0.454
O -1.895 -4.820 -2.102
P -2.473 -4.435 -3.484
O -3.968 -4.815 -3.560
O -2.399 -6.086 0.627
Li -2.832 -6.464 -1.290
Li -3.724 -9.913 -4.582
Li -0.889 -2.509 -5.291
O -1.618 -5.271 -4.527
Co -2.239 -6.224 -6.181
Co -3.262 -1.244 -3.660
O -2.254 -2.948 -3.846
O -2.452 -9.371 -0.901
P 0.570 -8.023 -5.758
Co -1.331 -0.317 -0.894
O 1.060 -2.537 -5.755
O -1.320 -2.857 -7.214
O -0.090 -9.608 -1.913
O -4.758 -6.079 -0.898